1.
# Ba2CuIr GGA-PBE optimized geometry
data_Ba2CuIr
_cell_length_a 4.4459
_cell_length_b 4.4459
_cell_length_c 25.0903
_cell_angle_alpha 90.00
_cell_angle_beta 90.00
_cell_angle_gamma 120.00
_symmetry_space_group_name_H-M 'R 3 m'
_symmetry_Int_Tables_number 160
_symmetry_space_group_name_Hall 'R 3 -2"'
loop_
_atom_site_label
_atom_site_fract_x
_atom_site_fract_y
_atom_site_fract_z
_atom_site_occupancy
Ba1 0.0000 0.0000 0.0000 1
Ba2 0.0000 0.0000 0.1618 1
Cu1 0.0000 0.0000 0.4142 1
Ir1 0.0000 0.0000 0.7476 1
# Raw total energy: -0.1597 Ha/atom
# Total moment: 0.000 μB per atom



2.
# BaCu2Ir GGA-PBE optimized geometry
data_BaCu2Ir
_cell_length_a 7.517
_cell_length_b 4.340
_cell_length_c 6.010
_cell_angle_alpha 90.00
_cell_angle_beta 114.88
_cell_angle_gamma 90.00
_symmetry_space_group_name_H-M 'C 1 2/m 1'
_symmetry_Int_Tables_number 12
loop_
_symmetry_equiv_pos_as_xyz
'x,y,z'
'-x,-y,-z'
'-x,y,-z'
'x,-y,z'
'x+1/2,y+1/2,z'
'-x+1/2,-y+1/2,-z'
'-x+1/2,y+1/2,-z'
'x+1/2,-y+1/2,z'
loop_
_atom_site_label
_atom_site_fract_x
_atom_site_fract_y
_atom_site_fract_z
_atom_site_occupancy
Ba1 0.000 0.000 0.000 1
Cu1 0.187 0.000 0.561 1
Ir1 0.000 0.500 0.500 1
# Raw total energy: -0.1759 Ha/atom
# Total moment: 0.000 μB per atom



3.
# Ba2CuIr GGA-PBE optimized geometry
data_Ba2CuIr
_cell_length_a 7.699
_cell_length_b 7.699
_cell_length_c 7.699
_cell_angle_alpha 90.00
_cell_angle_beta 90.00
_cell_angle_gamma 90.00
_symmetry_space_group_name_H-M 'F m -3 m'
_symmetry_Int_Tables_number 225
_symmetry_space_group_name_Hall '-F 4 2 3'
loop_
_atom_site_label
_atom_site_fract_x
_atom_site_fract_y
_atom_site_fract_z
_atom_site_occupancy
Ba1 0.250 0.250 0.250 1
Cu1 0.000 0.000 0.000 1
Ir1 0.000 0.000 0.500 1
# Raw total energy: -0.1509 Ha/atom
# Total moment: 0.000 μB per atom



4.
# Ba2CuIr GGA-PBE optimized geometry
data_Ba2CuIr
_cell_length_a 4.420
_cell_length_b 4.499
_cell_length_c 15.659
_cell_angle_alpha 90.00
_cell_angle_beta 90.00
_cell_angle_gamma 90.00
_symmetry_space_group_name_H-M 'I m m 2'
_symmetry_Int_Tables_number 44
loop_
_symmetry_equiv_pos_as_xyz
'x,y,z'
'-x,-y,z'
'-x,y,z'
'x,-y,z'
'x+1/2,y+1/2,z+1/2'
'-x+1/2,-y+1/2,z+1/2'
'-x+1/2,y+1/2,z+1/2'
'x+1/2,-y+1/2,z+1/2'
loop_
_atom_site_label
_atom_site_fract_x
_atom_site_fract_y
_atom_site_fract_z
_atom_site_occupancy
Ba1 0.000 0.000 0.000 1
Ba2 0.000 0.500 0.228 1
Cu1 0.000 0.500 0.648 1
Ir1 0.000 0.000 0.592 1
# Raw total energy: -0.1546 Ha/atom
# Total moment: 0.000 μB per atom